Na6ReN4 PBE optimized geometry; E_form (uncorrected) = -2.37 eV/f.u.; raw total energy = -112.1 eV for the cell shown
1.0
-0.675 5.986 0.267
2.967 0.677 -7.664
-8.098 -0.967 1.216
Na N Re
12 8 2
Direct
0.145 0.459 0.541
0.645 0.917 0.459
0.145 0.459 0.917
0.645 0.541 0.459
0.468 0.131 0.261
0.968 0.869 0.739
0.968 0.261 0.131
0.145 0.083 0.541
0.968 0.869 0.131
0.468 0.131 0.869
0.468 0.739 0.869
0.645 0.541 0.083
0.835 0.577 0.789
0.420 0.333 0.667
0.335 0.789 0.577
0.835 0.211 0.423
0.920 0.667 0.333
0.335 0.789 0.211
0.835 0.211 0.789
0.335 0.423 0.211
0.729 0.333 0.667
0.229 0.667 0.333